1.
LiScRu: optimized geometry, PBE-GGA.

Structure (POSCAR):
```
LiScRu
1.0
4.2805 0.0000 0.0000
2.1403 3.7070 0.0000
2.1403 1.2357 3.4950
Li Ru Sc
1 1 1
direct
0.5000 0.5000 0.5000
0.2500 0.2500 0.2500
0.0000 0.0000 0.0000
```

The total magnetic moment is 0.0 μB/f.u. The value obtained for the formation energy is 0.75 eV/f.u. Its volume is 55.46 Å³ per cell. Its density of states at the Fermi level is 0.34 states/eV per cell. As for the space-group type: F-43m (216).

=====

2.
Li2ScRu: optimized geometry, PBE-GGA.

Structure (POSCAR):
```
Li2ScRu
1.0
-2.0864 4.1189 -2.6556
-5.1231 -0.0225 -1.4575
2.9497 -0.9069 4.3414
Li Ru Sc
2 1 1
direct
0.0000 0.0000 0.0000
0.5000 0.5000 0.0000
0.2500 0.7500 0.5000
0.7500 0.2500 0.5000
```

The total magnetic moment is 0.0 μB/f.u. The value obtained for the formation energy is -0.14 eV/f.u. Its volume is 64.35 Å³ per cell. Its density of states at the Fermi level is 3.15 states/eV per cell. As for the space-group type: I4/mmm (139). The energy relative to the lowest polymorph listed for this composition is 3.16 kJ per mole of atoms.

=====

3.
Li2ScRu: optimized geometry, PBE-GGA.

Structure (POSCAR):
```
Li2ScRu
1.0
-0.6946 -3.0326 -3.0704
-3.0613 0.6423 -3.0533
1.1706 0.7732 -4.1399
Sc Ru Li
1 1 2
direct
0.0000 0.0000 0.0000
0.5000 0.5000 0.5000
0.2500 0.2500 0.2500
0.7500 0.7500 0.7500
```

The total magnetic moment is 0.0 μB/f.u. The value obtained for the formation energy is 0.49 eV/f.u. Its volume is 59.06 Å³ per cell. Its density of states at the Fermi level is 2.26 states/eV per cell. As for the space-group type: Fm-3m (225). The energy relative to the lowest polymorph listed for this composition is 18.39 kJ per mole of atoms.

=====

4.
Li3ScRu: optimized geometry, PBE-GGA.

Structure (POSCAR):
```
Li3ScRu
1.0
4.5147 0.0000 0.0000
0.0000 4.5147 0.0000
0.0000 0.0000 4.5147
Sc Ru Li
1 1 3
direct
0.5000 0.5000 0.5000
0.0000 0.0000 0.0000
0.0000 0.5000 0.0000
0.0000 0.0000 0.5000
0.5000 0.0000 0.0000
```

The total magnetic moment is 0.0 μB/f.u. The value obtained for the formation energy is 3.25 eV/f.u. Its volume is 92.02 Å³ per cell. Its density of states at the Fermi level is 5.21 states/eV per cell. As for the space-group type: Pm-3m (221).

=====

5.
LiSc3Ru: optimized geometry, PBE-GGA.

Structure (POSCAR):
```
LiSc3Ru
1.0
4.6532 0.0000 0.0000
0.0000 4.6532 0.0000
0.0000 0.0000 4.6532
Sc Ru Li
3 1 1
direct
0.0000 0.5000 0.0000
0.0000 0.0000 0.5000
0.5000 0.0000 0.0000
0.5000 0.5000 0.5000
0.0000 0.0000 0.0000
```

The total magnetic moment is 1.0 μB/f.u. The value obtained for the formation energy is 4.01 eV/f.u. Its volume is 100.75 Å³ per cell. Its density of states at the Fermi level is 6.43 states/eV per cell. As for the space-group type: Pm-3m (221). The energy relative to the lowest polymorph listed for this composition is 81.42 kJ per mole of atoms.

=====

6.
Li2ScRu: optimized geometry, PBE-GGA.

Structure (POSCAR):
```
Li2ScRu
1.0
3.6634 0.0000 0.0000
0.0000 3.6634 0.0000
1.8317 1.8317 10.2637
Sc Ru Li
2 2 4
direct
0.5000 0.5000 0.0000
0.2500 0.7500 0.5000
0.0000 0.0000 0.0000
0.7500 0.2500 0.5000
0.0926 0.1250 0.2500
0.6574 0.6250 0.2500
0.3750 0.9074 0.7500
0.8750 0.3426 0.7500
```

The total magnetic moment is 0.0 μB/f.u. The value obtained for the formation energy is 0.39 eV/f.u. Its volume is 137.75 Å³ per cell. Its density of states at the Fermi level is 6.39 states/eV per cell. As for the space-group type: I-42d (122). The energy relative to the lowest polymorph listed for this composition is 15.90 kJ per mole of atoms.